Here is Tb2PmGa4 after structural relaxation from Alexandria via LeMat-Bulk. Energies are from PBE-GGA.

Cell lengths 4.1661, 4.3196, 18.3572 Å; angles 90.00, 90.00, 90.00 degrees
Space group Immm (No. 71)
Unique sites:
Tb1 0.0000 0.0000 0.1845 (multiplicity 4)
Pm1 0.0000 0.5000 0.5000 (multiplicity 2)
Ga1 0.0000 0.0000 0.3532 (multiplicity 4)
Ga2 0.0000 0.5000 0.0672 (multiplicity 4)

Properties
- DFT total energy: -61.4 eV per cell

=====

Here is Tb5PmGa6 after structural relaxation from Alexandria via LeMat-Bulk. Energies are from PBE-GGA.

Cell lengths 8.7925, 15.3008, 5.0917 Å; angles 90.00, 125.23, 90.00 degrees
Space group C2/m (No. 12)
Unique sites:
Tb1 0.0000 0.0000 0.0000 (multiplicity 2)
Tb2 0.0000 0.1679 0.5000 (multiplicity 4)
Tb3 0.0000 0.3357 0.0000 (multiplicity 4)
Pm1 0.0000 0.5000 0.5000 (multiplicity 2)
Ga1 0.2423 0.0000 0.7427 (multiplicity 4)
Ga2 0.2461 0.1685 0.2462 (multiplicity 8)

Properties
- DFT total energy: -106.1 eV per cell

=====

Q: Which ΔH_f (0 K) values were calculated for the entries above? A: -0.65 -0.58, in eV per atom.